Here is a relaxed structure of Sn2GePt from Alexandria via LeMat-Bulk. Energies are from PBEsol.

a b c (Å): 4.8549 4.8549 4.8549
angles (deg): 60.00 60.00 60.00
Closest atoms and distances in Å follow each position.
Sites, in units of the cell vectors:
Ge 0.0000 0.0000 0.0000  8 Sn 2.97
Sn 0.7500 0.7500 0.7500  4 Ge 2.97, 4 Pt 2.97
Sn 0.2500 0.2500 0.2500  4 Pt 2.97, 4 Ge 2.97
Pt 0.5000 0.5000 0.5000  8 Sn 2.97

Summary:
- Calculated volume: 80.9 Å³ per cell
- E_form: 0.08 eV per formula unit
- Space-group type: Fm-3m, No. 225

***

Here is a relaxed structure of Ta3GePt from Alexandria via LeMat-Bulk. Energies are from PBEsol.

a b c (Å): 4.6076 4.6076 4.6076
angles (deg): 90.00 90.00 90.00
Closest atoms and distances in Å follow each position.
Sites, in units of the cell vectors:
Ta 0.0000 0.5000 0.0000  2 Ge 2.30
Ta 0.5000 0.0000 0.0000  2 Ge 2.30
Ta 0.0000 0.0000 0.5000  2 Ge 2.30
Ge 0.0000 0.0000 0.0000  6 Ta 2.30
Pt 0.5000 0.5000 0.5000  12 Ta 3.26

Summary:
- Calculated volume: 97.8 Å³ per cell
- E_form: 5.13 eV per formula unit
- Space-group type: Pm-3m, No. 221

***

Here is a relaxed structure of YTa2GePt from Alexandria via LeMat-Bulk. Energies are from PBEsol.

a b c (Å): 4.6812 4.6812 5.0390
angles (deg): 90.00 90.00 90.00
Closest atoms and distances in Å follow each position.
Sites, in units of the cell vectors:
Ta 0.5000 0.0000 0.0000  2 Ge 2.34
Ta 0.0000 0.5000 0.0000  2 Ge 2.34
Y 0.0000 0.0000 0.5000  2 Ge 2.52
Pt 0.5000 0.5000 0.5000  4 Y 3.31, 8 Ta 3.44
Ge 0.0000 0.0000 0.0000  4 Ta 2.34, 2 Y 2.52

Summary:
- Calculated volume: 110.4 Å³ per cell
- E_form: 3.96 eV per formula unit
- Space-group type: P4/mmm, No. 123

***

Here is a relaxed structure of Tc3GePt from Alexandria via LeMat-Bulk. Energies are from PBEsol.

a b c (Å): 4.6682 4.6682 4.6682
angles (deg): 90.00 90.00 90.00
Closest atoms and distances in Å follow each position.
Sites, in units of the cell vectors:
Tc 0.5000 0.0000 0.0000  2 Pt 2.33
Tc 0.0000 0.5000 0.0000  2 Pt 2.33
Tc 0.0000 0.0000 0.5000  2 Pt 2.33
Ge 0.5000 0.5000 0.5000  12 Tc 3.30
Pt 0.0000 0.0000 0.0000  6 Tc 2.33

Summary:
- Calculated volume: 101.7 Å³ per cell
- E_form: 10.26 eV per formula unit
- Space-group type: Pm-3m, No. 221

***

Here is a relaxed structure of Ge2TePt2 from Alexandria via LeMat-Bulk. Energies are from PBEsol.

a b c (Å): 4.0082 4.0082 6.4837
angles (deg): 108.01 108.01 90.00
Closest atoms and distances in Å follow each position.
Sites, in units of the cell vectors:
Ge 0.2500 0.7500 0.5000  4 Pt 2.53, 4 Ge 2.83
Ge 0.7500 0.2500 0.5000  4 Pt 2.53, 4 Ge 2.83
Pt 0.3827 0.3827 0.7654  4 Ge 2.53, 1 Pt 2.74
Pt 0.6173 0.6173 0.2346  4 Ge 2.53, 1 Pt 2.74
Te 0.0000 0.0000 0.0000  8 Pt 3.15

Summary:
- Calculated volume: 93.7 Å³ per cell
- Space-group type: I4/mmm, No. 139
- Formation energy without anion corrections: -0.18 eV per atom

***

Here is a relaxed structure of GeTe2Pt from Alexandria via LeMat-Bulk. Energies are from PBEsol.

a b c (Å): 3.8617 3.8617 8.9436
angles (deg): 77.53 77.53 60.00
Closest atoms and distances in Å follow each position.
Sites, in units of the cell vectors:
Te 0.1106 0.1106 0.6680  3 Pt 2.66, 1 Ge 2.88
Te 0.8894 0.8894 0.3320  3 Pt 2.66, 1 Ge 2.88
Pt 0.5000 0.5000 0.5000  6 Te 2.66
Ge 0.0000 0.0000 0.0000  2 Te 2.88

Summary:
- Calculated volume: 111.9 Å³ per cell
- Space-group type: R-3m, No. 166
- Formation energy without anion corrections: 0.10 eV per atom

***

Here is a relaxed structure of TiGePt3 from Alexandria via LeMat-Bulk. Energies are from PBEsol.

a b c (Å): 4.5636 4.5636 4.5636
angles (deg): 90.00 90.00 90.00
Closest atoms and distances in Å follow each position.
Sites, in units of the cell vectors:
Pt 0.0000 0.5000 0.0000  2 Ge 2.28
Pt 0.0000 0.0000 0.5000  2 Ge 2.28
Pt 0.5000 0.0000 0.0000  2 Ge 2.28
Ge 0.0000 0.0000 0.0000  6 Pt 2.28
Ti 0.5000 0.5000 0.5000  12 Pt 3.23

Summary:
- Calculated volume: 95.0 Å³ per cell
- E_form: 2.14 eV per formula unit
- Space-group type: Pm-3m, No. 221

***

Here is a relaxed structure of TmGePt from Alexandria via LeMat-Bulk. Energies are from PBEsol.

a b c (Å): 4.3040 6.8345 7.4786
angles (deg): 90.00 90.00 90.00
Closest atoms and distances in Å follow each position.
Sites, in units of the cell vectors:
Ge 0.2500 0.8101 0.0888  4 Pt 2.51-2.70
Ge 0.7500 0.1899 0.9112  4 Pt 2.51-2.70
Ge 0.2500 0.3101 0.4112  4 Pt 2.51-2.70
Ge 0.7500 0.6899 0.5888  4 Pt 2.51-2.70
Pt 0.7500 0.2945 0.5840  4 Ge 2.51-2.70
Pt 0.2500 0.2055 0.0840  4 Ge 2.51-2.70
Pt 0.2500 0.7055 0.4160  4 Ge 2.51-2.70
Pt 0.7500 0.7945 0.9160  4 Ge 2.51-2.70
Tm 0.2500 0.4970 0.7968  6 Pt 2.93-3.18, 6 Ge 2.96-3.15
Tm 0.7500 0.5030 0.2032  6 Pt 2.93-3.18, 6 Ge 2.96-3.15
Tm 0.2500 0.9970 0.7032  6 Pt 2.93-3.18, 6 Ge 2.96-3.15
Tm 0.7500 0.0030 0.2968  6 Pt 2.93-3.18, 6 Ge 2.96-3.15

Summary:
- Calculated volume: 220.0 Å³ per cell
- E_form: -3.53 eV per formula unit
- Space-group type: Pnma, No. 62

***

Here is a relaxed structure of Tm2Ge3Pt9 from Alexandria via LeMat-Bulk. Energies are from PBEsol.

a b c (Å): 7.6870 7.6870 9.9337
angles (deg): 67.12 67.12 60.29
Closest atoms and distances in Å follow each position.
Sites, in units of the cell vectors:
Ge 0.3598 0.8191 0.0029  6 Pt 2.43-2.69
Ge 0.6402 0.1809 0.9971  6 Pt 2.43-2.69
Ge 0.0000 0.5000 0.0000  8 Pt 2.45-2.67
Ge 0.5000 0.0000 0.5000  8 Pt 2.45-2.67
Ge 0.1809 0.6402 0.4971  6 Pt 2.43-2.69
Ge 0.8191 0.3598 0.5029  6 Pt 2.43-2.69
Pt 0.3592 0.5230 0.9230  3 Ge 2.49-2.69, 2 Pt 2.70-2.76
Pt 0.7969 0.9744 0.5788  3 Ge 2.59-2.87, 3 Pt 2.75-2.89
Pt 0.7020 0.0864 0.2430  2 Ge 2.43-2.45, 1 Pt 2.70
Pt 0.1320 0.8680 0.2500  2 Ge 2.44, 2 Pt 2.70
Pt 0.2031 0.0256 0.4212  3 Ge 2.59-2.87, 3 Pt 2.75-2.89
Pt 0.1409 0.3059 0.5809  3 Ge 2.51-2.67, 2 Pt 2.70-2.75
Pt 0.4770 0.6408 0.5770  3 Ge 2.49-2.69, 2 Pt 2.70-2.76
Pt 0.8591 0.6941 0.4191  3 Ge 2.51-2.67, 2 Pt 2.70-2.75
Pt 0.9136 0.2980 0.2570  2 Ge 2.43-2.45, 1 Pt 2.70
Pt 0.2980 0.9136 0.7570  2 Ge 2.43-2.45, 1 Pt 2.70
Pt 0.3059 0.1409 0.0809  3 Ge 2.51-2.67, 2 Pt 2.70-2.75
Pt 0.6941 0.8591 0.9191  3 Ge 2.51-2.67, 2 Pt 2.70-2.75
Pt 0.0864 0.7020 0.7430  2 Ge 2.43-2.45, 1 Pt 2.70
Pt 0.9744 0.7969 0.0788  3 Ge 2.59-2.87, 3 Pt 2.75-2.89
Pt 0.5230 0.3592 0.4230  3 Ge 2.49-2.69, 2 Pt 2.70-2.76
Pt 0.6408 0.4770 0.0770  3 Ge 2.49-2.69, 2 Pt 2.70-2.76
Pt 0.8680 0.1320 0.7500  2 Ge 2.44, 2 Pt 2.70
Pt 0.0256 0.2031 0.9212  3 Ge 2.59-2.87, 3 Pt 2.75-2.89
Tm 0.5831 0.7536 0.2487  11 Pt 2.91-3.14, 1 Ge 3.26
Tm 0.7536 0.5831 0.7487  11 Pt 2.91-3.14, 1 Ge 3.26
Tm 0.2464 0.4169 0.2513  11 Pt 2.91-3.14, 1 Ge 3.26
Tm 0.4169 0.2464 0.7513  11 Pt 2.91-3.14, 1 Ge 3.26

Summary:
- Calculated volume: 455.4 Å³ per cell
- E_form: -11.26 eV per formula unit
- Space-group type: C2/c, No. 15

***

Here is a relaxed structure of Ge2PtW from Alexandria via LeMat-Bulk. Energies are from PBEsol.

a b c (Å): 4.3839 4.3839 4.3839
angles (deg): 60.00 60.00 60.00
Closest atoms and distances in Å follow each position.
Sites, in units of the cell vectors:
Ge 0.7500 0.7500 0.7500  4 W 2.68, 4 Pt 2.68
Ge 0.2500 0.2500 0.2500  4 Pt 2.68, 4 W 2.68
W 0.0000 0.0000 0.0000  8 Ge 2.68
Pt 0.5000 0.5000 0.5000  8 Ge 2.68

Summary:
- Calculated volume: 59.6 Å³ per cell
- E_form: 0.43 eV per formula unit
- Space-group type: Fm-3m, No. 225

***

Here is a relaxed structure of YGe2Pt from Alexandria via LeMat-Bulk. Energies are from PBEsol.

a b c (Å): 4.2935 8.6689 9.4553
angles (deg): 117.28 103.12 90.00
Closest atoms and distances in Å follow each position.
Sites, in units of the cell vectors:
Ge 0.0742 0.5742 0.1485  1 Ge 2.41, 2 Pt 2.48
Ge 0.2999 0.6498 0.5997  3 Pt 2.46-2.61, 1 Ge 2.60
Ge 0.7001 0.3502 0.4003  3 Pt 2.46-2.61, 1 Ge 2.60
Ge 0.2999 0.9499 0.5997  3 Pt 2.46-2.61, 1 Ge 2.60
Ge 0.9258 0.4258 0.8515  1 Ge 2.41, 2 Pt 2.48
Ge 0.0741 0.0741 0.1482  1 Ge 2.41, 2 Pt 2.47
Ge 0.9259 0.9259 0.8518  1 Ge 2.41, 2 Pt 2.47
Ge 0.7001 0.0501 0.4003  3 Pt 2.46-2.61, 1 Ge 2.60
Y 0.5000 0.7355 0.0000  10 Ge 3.20-3.40, 4 Pt 3.23
Y 0.7016 0.7016 0.4032  8 Ge 2.97-3.03, 6 Pt 3.18-3.26
Y 0.2984 0.2984 0.5968  8 Ge 2.97-3.03, 6 Pt 3.18-3.26
Y 0.5000 0.2645 0.0000  10 Ge 3.20-3.40, 4 Pt 3.23
Pt 0.1481 0.3975 0.2963  5 Ge 2.46-2.61
Pt 0.8519 0.1013 0.7037  5 Ge 2.46-2.61
Pt 0.1481 0.8987 0.2963  5 Ge 2.46-2.61
Pt 0.8519 0.6025 0.7037  5 Ge 2.46-2.61

Summary:
- Calculated volume: 302.4 Å³ per cell
- E_form: -3.73 eV per formula unit
- Space-group type: Immm, No. 71

***

Here is a relaxed structure of YGePt from Alexandria via LeMat-Bulk. Energies are from PBEsol.

a b c (Å): 4.3335 6.9462 7.5253
angles (deg): 90.00 90.00 90.00
Closest atoms and distances in Å follow each position.
Sites, in units of the cell vectors:
Ge 0.7500 0.1892 0.4116  4 Pt 2.53-2.73
Ge 0.2500 0.3108 0.9116  4 Pt 2.53-2.73
Ge 0.7500 0.6892 0.0884  4 Pt 2.53-2.73
Ge 0.2500 0.8108 0.5884  4 Pt 2.53-2.73
Y 0.7500 0.5028 0.7031  6 Pt 2.97-3.21, 6 Ge 2.99-3.18
Y 0.2500 0.9972 0.2031  6 Pt 2.97-3.21, 6 Ge 2.99-3.18
Y 0.2500 0.4972 0.2969  6 Pt 2.97-3.21, 6 Ge 2.99-3.18
Y 0.7500 0.0028 0.7969  6 Pt 2.97-3.21, 6 Ge 2.99-3.18
Pt 0.2500 0.2032 0.5842  4 Ge 2.53-2.73
Pt 0.7500 0.2968 0.0842  4 Ge 2.53-2.73
Pt 0.7500 0.7968 0.4158  4 Ge 2.53-2.73
Pt 0.2500 0.7032 0.9158  4 Ge 2.53-2.73

Summary:
- Calculated volume: 226.5 Å³ per cell
- E_form: -3.56 eV per formula unit
- Space-group type: Pnma, No. 62

***

Across the entries above, total DFT energy (no corrections) takes the values -20.34 -44.42 -39.87 -35.44 -28.22 -18.57 -32.01 -81.32 -197.10 -30.22 -109.59 -89.13 eV/cell, respectively.
Across the entries above, M_tot takes the values 0.000 0.001 0.000 1.999 0.000 0.000 1.573 0.000 0.000 0.000 0.000 0.000 μB per formula unit, respectively.